Entry from OQMD: a geometry-optimized DyYNO structure (PBE-GGA).

Summary:
The total magnetization comes out at 0.0 μB per cell. The calculation puts the relative energy among the computed polymorphs at 0.1311 eV per atom.

a = 6.618 Å, b = 8.056 Å, c = 4.931 Å
α = 90.00°, β = 90.00°, γ = 90.00°
Atoms (fractional coordinates):
Dy 0.083 0.127 0.000
Dy 0.417 0.127 0.500
Dy 0.583 0.873 0.000
Dy 0.917 0.873 0.500
Y 0.069 0.622 0.999
Y 0.431 0.622 0.499
Y 0.569 0.378 0.999
Y 0.931 0.378 0.499
N 0.071 0.124 0.500
N 0.429 0.124 0.000
N 0.571 0.876 0.500
N 0.929 0.876 0.000
O 0.094 0.633 0.498
O 0.406 0.633 0.998
O 0.594 0.367 0.498
O 0.906 0.367 0.998

---

Entry from OQMD: a geometry-optimized DyYNO structure (PBE-GGA).

Summary:
The total magnetization comes out at 0.0 μB per cell. The calculation puts the relative energy among the computed polymorphs at 0.5471 eV per atom.

a = 4.453 Å, b = 4.453 Å, c = 7.660 Å
α = 90.00°, β = 90.00°, γ = 90.00°
Atoms (fractional coordinates):
Dy 0.250 0.750 0.000
Dy 0.750 0.250 0.000
Y 0.250 0.250 0.417
Y 0.750 0.750 0.583
N 0.250 0.250 0.920
N 0.750 0.750 0.080
O 0.250 0.750 0.500
O 0.750 0.250 0.500

---

Entry from OQMD: a geometry-optimized DyYNO structure (PBE-GGA).

Summary:
The total magnetization comes out at 0.0 μB per cell. The calculation puts the relative energy among the computed polymorphs at 0.1310 eV per atom.

a = 8.054 Å, b = 6.624 Å, c = 4.922 Å
α = 90.00°, β = 90.00°, γ = 90.00°
Atoms (fractional coordinates):
Dy 0.122 0.070 0.250
Dy 0.122 0.430 0.750
Dy 0.878 0.570 0.250
Dy 0.878 0.930 0.750
Y 0.373 0.583 0.250
Y 0.373 0.917 0.750
Y 0.627 0.083 0.250
Y 0.627 0.417 0.750
N 0.374 0.569 0.750
N 0.374 0.931 0.250
N 0.626 0.069 0.750
N 0.626 0.431 0.250
O 0.131 0.094 0.750
O 0.131 0.406 0.250
O 0.869 0.594 0.750
O 0.869 0.906 0.250

---

Entry from OQMD: a geometry-optimized DyYNO structure (PBE-GGA).

Summary:
The total magnetization comes out at 0.0 μB per cell. The calculation puts the relative energy among the computed polymorphs at 0.1114 eV per atom.

a = 4.864 Å, b = 3.959 Å, c = 6.896 Å
α = 90.00°, β = 90.00°, γ = 90.00°
Atoms (fractional coordinates):
Dy 0.250 0.000 0.166
Dy 0.750 0.000 0.834
Y 0.250 0.500 0.666
Y 0.750 0.500 0.334
N 0.250 0.500 0.334
N 0.750 0.500 0.666
O 0.250 0.000 0.829
O 0.750 0.000 0.171

---

Entry from OQMD: a geometry-optimized DyYNO structure (PBE-GGA).

Summary:
The total magnetization comes out at 0.0 μB per cell. The calculation puts the relative energy among the computed polymorphs at 0.2042 eV per atom.

a = 5.870 Å, b = 5.870 Å, c = 3.436 Å
α = 90.41°, β = 90.41°, γ = 97.56°
Atoms (fractional coordinates):
Dy 0.000 0.000 0.000
Dy 0.589 0.589 0.998
Y 0.093 0.497 0.500
Y 0.497 0.093 0.500
N 0.295 0.295 0.001
N 0.795 0.795 0.499
O 0.295 0.795 0.997
O 0.795 0.295 0.997

---

Entry from OQMD: a geometry-optimized DyYNO structure (PBE-GGA).

Summary:
The total magnetization comes out at 0.0 μB per cell. The calculation puts the relative energy among the computed polymorphs at 0.0011 eV per atom.

a = 4.835 Å, b = 4.835 Å, c = 4.840 Å
α = 90.00°, β = 90.00°, γ = 90.00°
Atoms (fractional coordinates):
Dy 0.250 0.250 0.001
Dy 0.750 0.750 0.999
Y 0.250 0.750 0.500
Y 0.750 0.250 0.500
N 0.250 0.250 0.500
N 0.750 0.750 0.500
O 0.250 0.750 0.000
O 0.750 0.250 0.000

---

Entry from OQMD: a geometry-optimized DyYNO structure (PBE-GGA).

Summary:
The total magnetization comes out at 0.0 μB per cell. The calculation puts the relative energy among the computed polymorphs at 0.0000 eV per atom.

a = 3.427 Å, b = 3.427 Å, c = 4.823 Å
α = 90.00°, β = 90.00°, γ = 90.00°
Atoms (fractional coordinates):
Dy 0.000 0.000 0.000
Y 0.500 0.500 0.500
N 0.500 0.500 0.000
O 0.000 0.000 0.500

---

Entry from OQMD: a geometry-optimized DyZrNO structure (PBE-GGA).

Summary:
The total magnetization comes out at 0.8 μB per cell. The calculation puts the relative energy among the computed polymorphs at 0.2829 eV per atom.

a = 3.580 Å, b = 6.182 Å, c = 5.904 Å
α = 90.00°, β = 90.00°, γ = 90.00°
Atoms (fractional coordinates):
Dy 0.000 0.174 0.000
Dy 0.000 0.826 0.500
Zr 0.500 0.367 0.455
Zr 0.500 0.633 0.955
N 0.000 0.182 0.409
N 0.000 0.818 0.909
O 0.500 0.292 0.818
O 0.500 0.708 0.318